# K2TlCl GGA-PBE optimized geometry
# E   -9.277 eV/f.u.
# V   43.78 Å³ per atom
# ΔE_f (raw)   -277 kJ/mol of formula units
# Magnetization   0.0 μB per cell
# E above lowest polymorph   183 meV per atom
data_K2TlCl
_cell_length_a 4.057
_cell_length_b 7.658
_cell_length_c 11.272
_cell_angle_alpha 90.00
_cell_angle_beta 90.00
_cell_angle_gamma 90.00
_space_group_name_H-M_alt 'I m m m'
_space_group_IT_number 71
_space_group_name_Hall '-I 2 2'
loop_
_atom_site_label
_atom_site_fract_x
_atom_site_fract_y
_atom_site_fract_z
K1 0.000 0.000 0.195
Tl1 0.000 0.500 0.000
Cl1 0.000 0.500 0.500